First-principles (PBE) data for Zr3Ga2Co6 after structural relaxation, as listed in the Alexandria database.

Computed properties:
E	-158.178	eV/cell
space-group type	Im-3m
size of the total moment	0.01	μB/f.u.
DOS at the Fermi energy	7.66	states/eV/f.u.
energy relative to the elements	-0.43	eV per atom

a b c (Å): 7.4183 7.4183 7.4183
angles (deg): 109.47 109.47 109.47
Fractional positions:
Zr (0.7142, 0.0000, 0.7142)
Zr (0.2858, 0.0000, 0.2858)
Zr (0.0000, 0.2858, 0.2858)
Zr (0.0000, 0.7142, 0.7142)
Zr (0.2858, 0.2858, 0.0000)
Zr (0.7142, 0.7142, 0.0000)
Ga (0.0000, 0.5000, 0.0000)
Ga (0.5000, 0.0000, 0.0000)
Ga (0.0000, 0.0000, 0.5000)
Ga (0.5000, 0.5000, 0.5000)
Co (0.6509, 0.3019, 0.6509)
Co (0.6509, 0.0000, 0.3491)
Co (0.3491, 0.0000, 0.6509)
Co (0.3491, 0.6981, 0.3491)
Co (0.0000, 0.6509, 0.3491)
Co (0.6981, 0.3491, 0.3491)
Co (0.3019, 0.6509, 0.6509)
Co (0.0000, 0.3491, 0.6509)
Co (0.3491, 0.6509, 0.0000)
Co (0.6509, 0.6509, 0.3019)
Co (0.3491, 0.3491, 0.6981)
Co (0.6509, 0.3491, 0.0000)